Entry 1:
Computed, not measured: TiAl2Zn at its PBEsol-relaxed geometry at the SCAN level of DFT.

a = 5.652 Å, b = 5.652 Å, c = 5.652 Å
α = 102.95°, β = 102.95°, γ = 123.48°
Element x y z (fractional)
Ti 0.000 0.000 0.000
Ti 0.750 0.250 0.500
Al 0.156 0.125 0.531
Al 0.375 0.844 0.969
Al 0.594 0.625 0.469
Al 0.875 0.406 0.031
Zn 0.250 0.750 0.500
Zn 0.500 0.500 0.000

## Properties
The formation energy comes out at 0.044 eV/atom. For the total magnetization, the calculation gives 0.00 μB per cell. The density comes out at 4.187 g/cm³. As for the symmetry: No. 122. Its total energy is -11.22 eV per atom.

***

Entry 2:
Computed, not measured: Mn2IrPt at its PBEsol-relaxed geometry at the SCAN level of DFT.

a = 4.329 Å, b = 4.329 Å, c = 4.329 Å
α = 121.61°, β = 121.61°, γ = 87.23°
Element x y z (fractional)
Mn 0.250 0.750 0.500
Mn 0.750 0.250 0.500
Ir 0.000 0.000 0.000
Pt 0.500 0.500 0.000

## Properties
The formation energy comes out at -0.609 eV/atom. The distance to the lowest polymorph of the same formula is 0.000 eV per atom. For the total magnetization, the calculation gives 9.01 μB per cell. The density comes out at 14.770 g/cm³. As for the symmetry: No. 139. Its total energy is -45.06 eV per atom.

***

Entry 3:
Computed, not measured: CaYW at its PBEsol-relaxed geometry at the SCAN level of DFT.

a = 8.170 Å, b = 8.072 Å, c = 3.069 Å
α = 80.92°, β = 77.31°, γ = 21.78°
Element x y z (fractional)
Ca 0.000 0.000 0.000
Y 0.288 0.288 0.712
W 0.651 0.651 0.349

## Properties
The formation energy comes out at 0.766 eV/atom. The distance to the lowest polymorph of the same formula is 0.000 eV per atom. For the total magnetization, the calculation gives 0.01 μB per cell. The density comes out at 7.149 g/cm³. As for the symmetry: No. 42. Its total energy is -34.97 eV per atom.